HfNbGa: optimized geometry, GGA-PBE.

Unit cell a=3.8696 b=3.8696 c=7.5341 alpha=90.00 beta=90.00 gamma=90.00
Space group P4/nmm (No. 129, origin choice 2)
Symmetry-distinct sites (fractional):
Hf 0.2500 0.2500 0.1430 x2
Nb 0.2500 0.7500 0.5000 x2
Ga 0.2500 0.2500 0.7707 x2

The value obtained for the formation energy is -1.16 eV/f.u.


HfNbGa3: optimized geometry, GGA-PBE.

Unit cell a=4.8552 b=4.8552 c=4.8552 alpha=90.00 beta=90.00 gamma=90.00
Space group Pm-3m (No. 221)
Symmetry-distinct sites (fractional):
Hf 0.0000 0.0000 0.0000 x1
Nb 0.5000 0.5000 0.5000 x1
Ga 0.0000 0.5000 0.5000 x3

The value obtained for the formation energy is 3.27 eV/f.u.


Hf6NbGa5: optimized geometry, GGA-PBE.

Unit cell a=8.9143 b=9.8064 c=5.5025 alpha=90.00 beta=103.09 gamma=90.00
Space group C2/m (No. 12)
Symmetry-distinct sites (fractional):
Hf 0.2188 0.0000 0.2205 x4
Hf 0.2318 0.1736 0.7329 x8
Nb 0.0000 0.5000 0.0000 x2
Ga 0.0000 0.0000 0.5000 x2
Ga 0.0000 0.2052 0.0000 x4
Ga 0.0000 0.3669 0.5000 x4

The value obtained for the formation energy is -3.02 eV/f.u.


HfNb4Ga6: optimized geometry, GGA-PBE.

Unit cell a=7.0805 b=7.0805 c=9.4719 alpha=90.00 beta=90.00 gamma=90.00
Space group I-42m (No. 121)
Symmetry-distinct sites (fractional):
Hf 0.0000 0.0000 0.0000 x2
Nb 0.1751 0.1751 0.4502 x8
Ga 0.0000 0.5000 0.0000 x4
Ga 0.1460 0.1460 0.7362 x8

The value obtained for the formation energy is 2.53 eV/f.u.


Hf2NbGa: optimized geometry, GGA-PBE.

Unit cell a=4.4681 b=4.4681 c=3.8446 alpha=90.00 beta=90.00 gamma=90.00
Space group P4/mmm (No. 123)
Symmetry-distinct sites (fractional):
Hf 0.0000 0.5000 0.0000 x2
Nb 0.0000 0.0000 0.5000 x1
Ga 0.5000 0.5000 0.5000 x1

The value obtained for the formation energy is -0.90 eV/f.u.


HfNb2Ga: optimized geometry, GGA-PBE.

Unit cell a=3.2629 b=20.8074 c=4.4694 alpha=90.00 beta=90.00 gamma=90.00
Space group Cmcm (No. 63)
Symmetry-distinct sites (fractional):
Hf 0.0000 0.1088 0.2500 x4
Nb 0.0000 0.2602 0.7500 x4
Nb 0.0000 0.4769 0.2500 x4
Ga 0.0000 0.3460 0.2500 x4

The value obtained for the formation energy is -0.49 eV/f.u.


HfNbGa2: optimized geometry, GGA-PBE.

Unit cell a=5.3374 b=2.9714 c=18.5999 alpha=90.00 beta=90.00 gamma=90.00
Space group Pnma (No. 62)
Symmetry-distinct sites (fractional):
Hf 0.0765 0.2500 0.1283 x4
Nb 0.0777 0.7500 0.3781 x4
Ga 0.1712 0.2500 0.7500 x4
Ga 0.2455 0.2500 0.5000 x4

The value obtained for the formation energy is -0.72 eV/f.u.


HfNb2Ga: optimized geometry, GGA-PBE.

Unit cell a=4.0013 b=4.0013 c=4.5815 alpha=90.00 beta=90.00 gamma=90.00
Space group P4/mmm (No. 123)
Symmetry-distinct sites (fractional):
Hf 0.0000 0.0000 0.0000 x1
Nb 0.0000 0.5000 0.5000 x2
Ga 0.5000 0.5000 0.0000 x1

The value obtained for the formation energy is -0.84 eV/f.u.


HfNb2Ga: optimized geometry, GGA-PBE.

Unit cell a=4.2272 b=20.1094 c=3.5255 alpha=90.00 beta=90.00 gamma=90.00
Space group Cmcm (No. 63)
Symmetry-distinct sites (fractional):
Hf 0.0000 0.1969 0.2500 x4
Nb 0.0000 0.0635 0.7500 x4
Nb 0.0000 0.4413 0.7500 x4
Ga 0.0000 0.3356 0.2500 x4

The value obtained for the formation energy is -1.02 eV/f.u.


Hf2NbGa2: optimized geometry, GGA-PBE.

Unit cell a=5.4591 b=14.2643 c=5.0901 alpha=90.00 beta=90.00 gamma=90.00
Space group Cmcm (No. 63)
Symmetry-distinct sites (fractional):
Hf 0.0000 0.0751 0.2500 x4
Hf 0.0000 0.3055 0.7500 x4
Nb 0.0000 0.5000 0.0000 x4
Ga 0.2413 0.1372 0.7500 x8

The value obtained for the formation energy is -1.01 eV/f.u.


Hf2NbGa: optimized geometry, GGA-PBE.

Unit cell a=4.0238 b=4.0238 c=20.3385 alpha=90.00 beta=90.00 gamma=90.00
Space group I-42d (No. 122)
Symmetry-distinct sites (fractional):
Hf 0.2472 0.2500 0.1250 x8
Nb 0.0000 0.0000 0.0000 x4
Ga 0.0000 0.0000 0.5000 x4

The value obtained for the formation energy is 1.23 eV/f.u.


HfNb5Ga4: optimized geometry, GGA-PBE.

Unit cell a=8.3568 b=8.5798 c=5.1408 alpha=90.00 beta=90.00 gamma=90.00
Space group Pmmn (No. 59, origin choice 2)
Symmetry-distinct sites (fractional):
Hf 0.2500 0.2500 0.1980 x2
Nb 0.0847 0.0412 0.7827 x8
Nb 0.2500 0.7500 0.9348 x2
Ga 0.0434 0.7500 0.5429 x4
Ga 0.2500 0.5531 0.3344 x4

The value obtained for the formation energy is 0.13 eV/f.u.